Entry 1:
{
  "formula": "SiOsO2",
  "functional": "PBE-GGA",
  "state": "optimized geometry",
  "cell": [[1.409, 0.814, 6.638], [-1.409, 0.814, 6.638], [0.000, -1.627, 6.638]],
  "species": ["Si", "Os", "O", "O"],
  "fractional_positions": [[0.000, 0.000, 0.000], [0.500, 0.500, 0.500], [0.099, 0.099, 0.099], [0.901, 0.901, 0.901]],
  "total_magnetization_mub_per_cell": 0.0,
  "e_form_raw_mev_per_atom": -369,
  "dft_energy_ev_per_atom": -7.012
}

=====

Entry 2:
{
  "formula": "SrSiOsO6",
  "functional": "PBE-GGA",
  "state": "optimized geometry",
  "cell": [[5.018, 0.000, 0.000], [-2.509, 4.346, 0.000], [0.000, 0.000, 5.429]],
  "species": ["Sr", "Si", "Os", "O", "O", "O", "O", "O", "O"],
  "fractional_positions": [[0.000, 0.000, 0.000], [0.667, 0.333, 0.500], [0.333, 0.667, 0.500], [0.392, 0.020, 0.690], [0.392, 0.372, 0.310], [0.628, 0.020, 0.310], [0.628, 0.608, 0.690], [0.980, 0.372, 0.690], [0.980, 0.608, 0.310]],
  "total_magnetization_mub_per_cell": 2.0,
  "e_form_raw_mev_per_atom": -2014,
  "dft_energy_ev_per_atom": -7.357
}

=====

Entry 3:
{
  "formula": "TaSi2OsO",
  "functional": "PBE-GGA",
  "state": "optimized geometry",
  "cell": [[4.866, 0.000, 0.000], [0.000, 4.866, 0.000], [0.000, 0.000, 4.788]],
  "species": ["Ta", "Si", "Si", "Os", "O"],
  "fractional_positions": [[0.000, 0.000, 0.000], [0.000, 0.500, 0.000], [0.500, 0.000, 0.000], [0.000, 0.000, 0.500], [0.500, 0.500, 0.500]],
  "total_magnetization_mub_per_cell": 1.3,
  "e_form_raw_mev_per_atom": 1818,
  "dft_energy_ev_per_atom": -5.960
}

=====

Entry 4:
{
  "formula": "Ti2SiOsO",
  "functional": "PBE-GGA",
  "state": "optimized geometry",
  "cell": [[4.778, 0.000, 0.000], [0.000, 4.778, 0.000], [0.000, 0.000, 4.459]],
  "species": ["Ti", "Ti", "Si", "Os", "O"],
  "fractional_positions": [[0.000, 0.500, 0.000], [0.500, 0.000, 0.000], [0.000, 0.000, 0.500], [0.000, 0.000, 0.000], [0.500, 0.500, 0.500]],
  "total_magnetization_mub_per_cell": 0.0,
  "e_form_raw_mev_per_atom": 579,
  "dft_energy_ev_per_atom": -6.901
}

=====

Entry 5:
{
  "formula": "Tl2SiOsO6",
  "functional": "PBE-GGA",
  "state": "optimized geometry",
  "cell": [[3.632, -3.632, 0.000], [3.632, 3.632, 0.000], [-3.613, 0.000, 5.521]],
  "species": ["Tl", "Tl", "Si", "Os", "O", "O", "O", "O", "O", "O"],
  "fractional_positions": [[0.250, 0.750, 0.000], [0.750, 0.250, 0.000], [0.000, 0.000, 0.500], [0.500, 0.500, 0.500], [0.231, 0.231, 0.501], [0.231, 0.769, 0.500], [0.328, 0.328, 0.156], [0.672, 0.672, 0.844], [0.769, 0.231, 0.500], [0.769, 0.769, 0.499]],
  "total_magnetization_mub_per_cell": 1.4,
  "e_form_raw_mev_per_atom": -1089,
  "dft_energy_ev_per_atom": -6.203
}

=====

Entry 6:
{
  "formula": "ZnSi2OsO",
  "functional": "PBE-GGA",
  "state": "optimized geometry",
  "cell": [[4.107, 0.000, 0.000], [0.000, 4.107, 0.000], [0.000, 0.000, 4.132]],
  "species": ["Zn", "Si", "Si", "Os", "O"],
  "fractional_positions": [[0.000, 0.000, 0.000], [0.000, 0.500, 0.500], [0.500, 0.000, 0.500], [0.500, 0.500, 0.000], [0.500, 0.500, 0.500]],
  "total_magnetization_mub_per_cell": 0.0,
  "e_form_raw_mev_per_atom": 543,
  "dft_energy_ev_per_atom": -5.118
}

=====

Entry 7:
{
  "formula": "Sm3OsO7",
  "functional": "PBE-GGA",
  "state": "optimized geometry",
  "cell": [[5.402, -3.740, 0.000], [5.402, 3.740, 0.000], [0.000, 0.000, 7.543]],
  "species": ["Sm", "Sm", "Sm", "Sm", "Sm", "Sm", "Os", "Os", "O", "O", "O", "O", "O", "O", "O", "O", "O", "O", "O", "O", "O", "O"],
  "fractional_positions": [[0.000, 0.000, 0.000], [0.000, 0.000, 0.500], [0.073, 0.478, 0.750], [0.478, 0.073, 0.250], [0.522, 0.927, 0.750], [0.927, 0.522, 0.250], [0.500, 0.500, 0.000], [0.500, 0.500, 0.500], [0.109, 0.156, 0.250], [0.156, 0.109, 0.750], [0.185, 0.562, 0.038], [0.185, 0.562, 0.462], [0.415, 0.585, 0.750], [0.438, 0.815, 0.038], [0.438, 0.815, 0.462], [0.562, 0.185, 0.538], [0.562, 0.185, 0.962], [0.585, 0.415, 0.250], [0.815, 0.438, 0.538], [0.815, 0.438, 0.962], [0.844, 0.891, 0.250], [0.891, 0.844, 0.750]],
  "total_magnetization_mub_per_cell": 5.9,
  "e_form_raw_mev_per_atom": -2691,
  "dft_energy_ev_per_atom": -8.154
}

=====

Entry 8:
{
  "formula": "SmOsO5",
  "functional": "PBE-GGA",
  "state": "optimized geometry",
  "cell": [[4.579, -3.269, 0.000], [4.579, 3.269, 0.000], [-3.136, 0.000, 6.910]],
  "species": ["Sm", "Sm", "Os", "Os", "O", "O", "O", "O", "O", "O", "O", "O", "O", "O"],
  "fractional_positions": [[0.047, 0.953, 0.750], [0.953, 0.047, 0.250], [0.500, 0.500, 0.000], [0.500, 0.500, 0.500], [0.197, 0.779, 0.034], [0.221, 0.803, 0.466], [0.268, 0.300, 0.389], [0.300, 0.268, 0.889], [0.417, 0.583, 0.750], [0.583, 0.417, 0.250], [0.700, 0.732, 0.111], [0.732, 0.700, 0.611], [0.779, 0.197, 0.534], [0.803, 0.221, 0.966]],
  "total_magnetization_mub_per_cell": 1.9,
  "e_form_raw_mev_per_atom": -1833,
  "dft_energy_ev_per_atom": -7.653
}